A plane-wave DFT calculation with PBE was carried out for crystalline Ba3SmPd2O6 at its relaxed geometry.

Results
- crystal system = trigonal
- electronic total energy (eV/atom) = -5.99
- D(E_F) (states/eV per atom) = 0.5938

Cell lengths 6.1959, 6.1959, 6.9105 Å; angles 90.00, 90.00, 120.00 degrees
Positions (direct):
Ba  0.0000  0.0000  0.0000
Ba  0.3333  0.6667  0.6371
Ba  0.6667  0.3333  0.3629
Sm  0.0000  0.0000  0.5000
Pd  0.3333  0.6667  0.1414
Pd  0.6667  0.3333  0.8586
O  0.1692  0.3384  0.3041
O  0.1692  0.8308  0.3041
O  0.3384  0.1692  0.6959
O  0.6616  0.8308  0.3041
O  0.8308  0.1692  0.6959
O  0.8308  0.6616  0.6959